Entry 1:
Here is TlInAg4 at its PBEsol-relaxed geometry from Alexandria via LeMat-Bulk. Energies are from SCAN.

The structure in extended XYZ format:
```
6
Lattice="5.5057 0.0000 0.0000 2.7529 4.7681 0.0000 2.7529 1.5894 4.4954" Properties=species:S:1:pos:R:3 pbc="T T T"
Ag 6.8800 2.3853 1.6867
Ag 4.1315 2.3853 1.6867
Tl 0.0000 0.0000 0.0000
Ag 5.5057 4.7656 1.6867
In 8.2586 4.7681 3.3716
Ag 5.5057 3.1787 3.9308
```

## Properties
ΔE_f: 92 meV per atom



Entry 2:
Here is GaTc at its PBEsol-relaxed geometry from Alexandria via LeMat-Bulk. Energies are from SCAN.

The structure in extended XYZ format:
```
2
Lattice="2.8249 0.0000 0.0000 -1.4124 2.4464 0.0000 0.0000 0.0000 4.1008" Properties=species:S:1:pos:R:3 pbc="T T T"
Tc 1.4124 0.8155 0.0000
Ga 0.0000 1.6309 2.0504
```

## Properties
ΔE_f: -104 meV per atom



Entry 3:
Here is Zr3Te at its PBEsol-relaxed geometry from Alexandria via LeMat-Bulk. Energies are from SCAN.

The structure in extended XYZ format:
```
4
Lattice="3.6124 0.0000 0.0000 0.0000 4.9272 0.0713 0.0000 -1.1892 4.7820" Properties=species:S:1:pos:R:3 pbc="T T T"
Te 0.0000 0.0000 0.0000
Zr 1.8062 2.4636 0.0356
Zr 1.8062 -0.5946 2.3910
Zr 0.0000 1.8690 2.4267
```

## Properties
uncorrected formation energy: -411 meV per atom



Entry 4:
Here is TaCo at its PBEsol-relaxed geometry from Alexandria via LeMat-Bulk. Energies are from SCAN.

The structure in extended XYZ format:
```
4
Lattice="-2.1805 1.5882 0.4741 -1.3917 -2.3495 0.2112 1.4521 -0.1996 7.3476" Properties=species:S:1:pos:R:3 pbc="T T T"
Ta -1.4823 0.5349 2.9433
Co -0.6632 0.4223 7.0883
Co -1.4570 -1.3832 0.9446
Ta -0.6378 -1.4958 5.0896
```

## Properties
ΔE_f: 43 meV per atom



Entry 5:
Here is KNaNbOF5 at its PBEsol-relaxed geometry from Alexandria via LeMat-Bulk. Energies are from SCAN.

The structure in extended XYZ format:
```
36
Lattice="-2.7193 -0.4531 5.1949 -1.9458 -7.7625 -1.6956 10.1993 -3.6532 5.0202" Properties=species:S:1:pos:R:3 pbc="T T T"
F 8.0669 -4.5618 8.6068
F 0.8452 -5.8999 2.1772
F -2.0845 -7.0735 2.6275
F -0.3228 -1.9654 5.2379
F -0.4483 -7.7438 5.4764
Na 7.4817 -3.7124 6.5898
F 6.8054 -7.7263 7.6578
Na -1.1541 -4.9911 2.6211
F 6.4227 -7.6469 3.7745
F 7.3675 -5.7977 5.6730
F 2.4778 -8.9896 6.1641
F 3.4147 -6.4116 2.6813
O 4.7645 -6.7405 5.8983
F 5.7894 -9.3807 5.8125
Nb -0.0066 -1.0992 3.5052
F 2.8051 -3.8816 2.1365
F 5.8947 -4.4752 2.9666
F 5.2546 -3.7124 6.8352
Nb 2.3972 -5.4764 1.0527
K -0.2549 -2.5024 -0.1361
F -0.3429 -2.8382 2.6305
Nb 6.3623 -7.4921 5.7302
Na 2.8568 -6.9991 7.2112
O -0.1795 -8.9150 1.7941
O 5.7380 -10.6053 2.7418
F 2.7946 -2.7639 6.4265
Nb 3.9585 -3.1149 8.1827
F 4.9675 -2.1247 3.8553
F 1.5228 -5.9302 5.4973
O -1.1529 -5.0502 4.9506
K 1.6740 -8.1366 3.7110
F -1.8576 -4.6138 0.5010
K 5.5901 -10.1605 8.4822
Na 3.4708 -1.7044 1.9998
K 3.6612 -4.5263 4.6350
F -0.3152 -0.3286 1.6949
```

## Properties
uncorrected formation energy: -3113 meV per atom



Entry 6:
Here is Ca2CdIr at its PBEsol-relaxed geometry from Alexandria via LeMat-Bulk. Energies are from SCAN.

The structure in extended XYZ format:
```
4
Lattice="3.2003 0.0000 0.0000 -1.6001 3.8170 0.0106 0.0000 -1.0841 8.1703" Properties=species:S:1:pos:R:3 pbc="T T T"
Ca 0.0000 1.6151 1.6313
Cd 0.0000 -0.5420 4.0852
Ir 1.6001 0.0000 0.0000
Ca 1.6001 1.1178 6.5496
```

## Properties
ΔE_f: -82 meV per atom